# 1
Entry from Alexandria: a relaxed structure of LiTa5 (GGA-PBE).

Cell lengths 2.778, 2.778, 14.366 Å; angles 90.00, 90.00, 90.00 degrees
Fractional coordinates of all 6 atoms:
Li: 0.000 0.000 0.000
Ta: 0.000 0.000 0.332
Ta: 0.000 0.000 0.668
Ta: 0.500 0.500 0.171
Ta: 0.500 0.500 0.500
Ta: 0.500 0.500 0.829

- Final energy: -9.934 eV per atom
- Calculated volume: 18.48 Å³ per atom



# 2
Entry from Alexandria: a relaxed structure of K2SiNi (GGA-PBE).

Cell lengths 4.159, 4.793, 5.232 Å; angles 90.00, 90.00, 90.00 degrees
Fractional coordinates of all 4 atoms:
K: 0.000 0.000 0.248
K: 0.000 0.000 0.752
Si: 0.500 0.500 0.500
Ni: 0.500 0.500 0.000

- Final energy: -2.630 eV per atom
- Calculated volume: 26.07 Å³ per atom